Entry 1:
The following is a DFT calculation (PBE) of a relaxed CsY3Hg crystal.

Properties
crystal system = cubic
relative energy among the computed polymorphs = 0.910 eV/atom

Cell lengths 5.6235, 5.6235, 5.6235 Å; angles 90.00, 90.00, 90.00 degrees
Sites, in units of the cell vectors:
Cs1 0.0000 0.0000 0.0000
Y1 0.0000 0.5000 0.0000
Y2 0.0000 0.0000 0.5000
Y3 0.5000 0.0000 0.0000
Hg1 0.5000 0.5000 0.5000

Entry 2:
The following is a DFT calculation (PBE) of a relaxed Cs2YHg4 crystal.

Properties
crystal system = tetragonal

Cell lengths 5.9792, 5.9792, 10.5589 Å; angles 73.55, 73.55, 90.00 degrees
Sites, in units of the cell vectors:
Cs1 0.6346 0.6346 0.7308
Cs2 0.3654 0.3654 0.2692
Y1 0.0000 0.0000 0.0000
Hg1 0.8425 0.8425 0.3150
Hg2 0.1575 0.1575 0.6850
Hg3 0.0000 0.5000 0.0000
Hg4 0.5000 0.0000 0.0000

Entry 3:
The following is a DFT calculation (PBE) of a relaxed CsY3Hg crystal.

Properties
crystal system = cubic
relative energy among the computed polymorphs = 0.000 eV/atom

Cell lengths 5.8742, 5.8742, 5.8742 Å; angles 90.00, 90.00, 90.00 degrees
Sites, in units of the cell vectors:
Cs1 0.5000 0.5000 0.5000
Y1 0.0000 0.5000 0.0000
Y2 0.0000 0.0000 0.5000
Y3 0.5000 0.0000 0.0000
Hg1 0.0000 0.0000 0.0000

DFT formation energy per entry: 1.241 -0.114 0.331 eV/atom
V per entry: 177.8 345.9 202.7 Å³ per cell